## SrPmAgSn (PBE)

Data for a geometry-optimized SrPmAgSn structure.

The structure belongs to space group F-43m (No. 216); the cell edges are 7.768, 7.768 and 7.768 Å and the angles 90.00°, 90.00° and 90.00°. Symmetry generates all atoms from Sr at (0.000, 0.000, 0.000), Pm at (0.000, 0.000, 0.500), Ag at (0.250, 0.250, 0.750) and Sn at (0.250, 0.250, 0.250).

The calculation puts the final energy at -0.2802 Ry/atom. For the energy of formation from the pure elements, the calculation gives -0.491 eV per atom. The density of states at the Fermi level comes out at 0.484 states/eV per atom. The total magnetization comes out at 0.0 μB per formula unit.